A geometry-optimized NaVOF2 structure. Source: Alexandria, functional GGA+U.

Structure (CIF):
```
data_NaVOF2
_symmetry_space_group_name_H-M 'P 4/m m m'
_symmetry_Int_Tables_number 123
_symmetry_space_group_name_Hall '-P 4 2'
_cell_length_a 4.112
_cell_length_b 4.112
_cell_length_c 3.783
_cell_angle_alpha 90.00
_cell_angle_beta 90.00
_cell_angle_gamma 90.00
loop_
_atom_site_label
_atom_site_type_symbol
_atom_site_fract_x
_atom_site_fract_y
_atom_site_fract_z
_atom_site_occupancy
Na1 Na 0.000 0.000 0.000 1
V1 V 0.500 0.500 0.500 1
O1 O 0.500 0.500 0.000 1
F1 F 0.000 0.500 0.500 1
```

Results
Its relative energy among the computed polymorphs is 63 meV/atom. The volume is 64.0 Å³/cell.